[1]
## Ga2OsPt (PBE)

Data for an optimized crystal structure of Ga2OsPt. Values from VASP.

Properties
The energy comes out at -24.4 eV for the cell shown. The polymorph energy (0 for the lowest one) is 0.000 eV/atom. As for the space group: No. 123. Its spin magnetization is 0.000 μB/cell. For the formation energy, the calculation gives -0.268 eV/atom.

Cell and atoms, written as Quantum ESPRESSO input:
```
&SYSTEM
  ibrav = 0, nat = 4, ntyp = 3
/
ATOMIC_SPECIES
Pt 195.08 Pt.upf
Os 190.23 Os.upf
Ga 69.72 Ga.upf
CELL_PARAMETERS angstrom
3.183 0.000 0.000
0.000 4.277 0.000
0.000 0.000 4.277
ATOMIC_POSITIONS angstrom
Pt 1.591 0.000 0.000
Os 1.591 2.139 2.139
Ga 0.000 2.139 0.000
Ga 0.000 0.000 2.139
```

=====

[2]
## LuPuCo (PBE)

Data for an optimized crystal structure of LuPuCo. Values from VASP.

Properties
The energy comes out at -25.2 eV for the cell shown. The polymorph energy (0 for the lowest one) is 0.253 eV/atom. As for the space group: No. 187. Its spin magnetization is 5.598 μB/cell. For the formation energy, the calculation gives 0.241 eV/atom.

Cell and atoms, written as Quantum ESPRESSO input:
```
&SYSTEM
  ibrav = 0, nat = 3, ntyp = 3
/
ATOMIC_SPECIES
Lu 174.97 Lu.upf
Pu 244.00 Pu.upf
Co 58.93 Co.upf
CELL_PARAMETERS angstrom
-3.304 -0.829 -2.646
2.632 0.011 -3.289
-0.762 -3.586 2.075
ATOMIC_POSITIONS angstrom
Lu -0.702 -1.741 -3.265
Pu -0.180 -2.524 -0.153
Co -0.553 -0.139 -0.443
```